# 1
Material: AcPrCoCl
Method: DFT, PBE
State: optimized geometry

Values from the calculation:
The magnetic moment comes out at 0.0 μB per formula unit. Its total DFT energy (no corrections) is -5.272 eV/atom. Its formation energy (no corrections) is -3.25 eV/f.u.

a b c (Å): 4.0732 4.0732 23.7416
angles (deg): 90.00 90.00 120.00
Space group R3m (No. 160, hexagonal axes)
Symmetry-distinct sites (fractional):
Ac 0.0000 0.0000 0.0000 x3
Pr 0.0000 0.0000 0.7983 x3
Co 0.0000 0.0000 0.4009 x3
Cl 0.0000 0.0000 0.2232 x3

***

# 2
Material: In3Sn4Pb4
Method: DFT, PBE
State: optimized geometry

Values from the calculation:
For the formation energy, the calculation gives 0.034 eV/atom. The magnetic moment comes out at 0.0 μB per formula unit. Its total DFT energy (no corrections) is -3.517 eV/atom.

a b c (Å): 3.510 4.711 19.552
angles (deg): 95.76 94.38 90.64
Space group P-1 (No. 2)
Symmetry-distinct sites (fractional):
In 0.000 0.000 0.000 x1
In 0.362 0.362 0.729 x2
Sn 0.085 0.088 0.183 x2
Sn 0.268 0.272 0.544 x2
Pb 0.187 0.185 0.364 x2
Pb 0.459 0.453 0.907 x2

***

# 3
Material: VGe2H2
Method: DFT, PBE
State: optimized geometry

Values from the calculation:
The magnetic moment comes out at 0.0 μB per formula unit. Its total DFT energy (no corrections) is -4.555 eV/atom.

a b c (Å): 2.825 2.825 13.433
angles (deg): 90.00 90.00 90.00
Space group I4/mmm (No. 139)
Symmetry-distinct sites (fractional):
V 0.000 0.000 0.000 x2
Ge 0.000 0.000 0.362 x4
H 0.000 0.500 0.250 x4

***

# 4
Material: TbTm3Tl3Te8
Method: DFT, PBE
State: optimized geometry

Values from the calculation:
The magnetic moment comes out at 0.0 μB per formula unit. Its total DFT energy (no corrections) is -4.388 eV/atom. Its formation energy (no corrections) is -15.54 eV/f.u.

a b c (Å): 15.128 8.719 9.613
angles (deg): 90.00 121.70 90.00
Space group C2/m (No. 12)
Symmetry-distinct sites (fractional):
Tb 0.000 0.000 0.000 x2
Tm 0.000 0.500 0.000 x2
Tm 0.250 0.250 0.000 x4
Tl 0.000 0.000 0.500 x2
Tl 0.250 0.250 0.500 x4
Te 0.013 0.255 0.786 x8
Te 0.238 0.500 0.212 x4
Te 0.241 0.000 0.214 x4

***

Look up the total DFT energy (no corrections) of the first one. -5.272 eV/atom